(1)
Sr2SbW | GGA-PBE | optimized geometry

a b c (Å): 8.9227 8.9227 5.9970
angles (deg): 90.00 90.00 90.00
With the nearest neighbours (Å) after each atom.
Space group I-42d (No. 122)
Unique sites:
Sr1 0.2204 0.2500 0.1250 (multiplicity 8)  2 Sr 3.04, 2 W 3.07
Sb1 0.0000 0.0000 0.5000 (multiplicity 4)  2 W 3.00
W1 0.0000 0.0000 0.0000 (multiplicity 4)  2 Sb 3.00, 4 Sr 3.07

Computed properties:
Uncorrected formation energy = 20.8 kcal/mol of atoms
E = -4.2092 eV/atom

---

(2)
U3Tl4PdS8 | GGA-PBE | optimized geometry

a b c (Å): 7.8182 7.8182 22.9796
angles (deg): 90.00 90.00 120.00
With the nearest neighbours (Å) after each atom.
Space group R-3m (No. 166, hexagonal axes)
Unique sites:
U1 0.0000 0.5000 0.0000 (multiplicity 9)  6 S 2.69-2.73
Tl1 0.0000 0.0000 0.5000 (multiplicity 3)  6 S 3.22
Tl2 0.0000 0.5000 0.5000 (multiplicity 9)  6 S 3.21-3.26
Pd1 0.0000 0.0000 0.0000 (multiplicity 3)  6 S 2.74
S1 0.0000 0.0000 0.2663 (multiplicity 6)  3 U 2.73
S2 0.0051 0.5025 0.2683 (multiplicity 18)  2 U 2.69, 1 Pd 2.74

Computed properties:
Uncorrected formation energy = -20.3 kcal/mol of atoms
E = -5.9770 eV/atom

---

(3)
Re2HgGe2 | GGA-PBE | optimized geometry

a b c (Å): 7.3393 7.3393 3.0739
angles (deg): 90.00 90.00 90.00
With the nearest neighbours (Å) after each atom.
Space group P4/mbm (No. 127)
Unique sites:
Re1 0.1431 0.3569 0.0000 (multiplicity 4)  6 Ge 2.64-2.65, 2 Hg 2.82
Hg1 0.0000 0.0000 0.0000 (multiplicity 2)  4 Re 2.82, 2 Hg 3.07
Ge1 0.1495 0.6495 0.5000 (multiplicity 4)  6 Re 2.64-2.65

Computed properties:
ΔE_f = 0.37 eV per atom
E = -6.5132 eV/atom
Polymorph energy (0 for the lowest one) = 0 kJ/mol of formula units

---

Question: What is the formula in the second record?
Answer: U3Tl4PdS8

---

Please write out number 3 again, unchanged.
Re2HgGe2 | GGA-PBE | optimized geometry

a b c (Å): 7.3393 7.3393 3.0739
angles (deg): 90.00 90.00 90.00
With the nearest neighbours (Å) after each atom.
Space group P4/mbm (No. 127)
Unique sites:
Re1 0.1431 0.3569 0.0000 (multiplicity 4)  6 Ge 2.64-2.65, 2 Hg 2.82
Hg1 0.0000 0.0000 0.0000 (multiplicity 2)  4 Re 2.82, 2 Hg 3.07
Ge1 0.1495 0.6495 0.5000 (multiplicity 4)  6 Re 2.64-2.65

Computed properties:
ΔE_f = 0.37 eV per atom
E = -6.5132 eV/atom
Polymorph energy (0 for the lowest one) = 0 kJ/mol of formula units